Record 1
Crystalline MgIn2Ge2 at its relaxed geometry, computed with PBE-GGA.

Values from the calculation:
Formation energy   0.179 eV per atom
Total magnetization   0.00 μB/cell
DFT total energy   -3.082 eV/atom

Unit cell a=4.283 b=4.283 c=13.446 alpha=90.00 beta=90.00 gamma=90.00
Space group I4/mmm (No. 139)
Asymmetric unit:
Mg 0.000 0.000 0.000 (multiplicity 2)
In 0.000 0.500 0.250 (multiplicity 4)
Ge 0.000 0.000 0.406 (multiplicity 4)

---

Record 2
Crystalline Mg2In2Ge at its relaxed geometry, computed with PBE-GGA.

Values from the calculation:
Formation energy   0.103 eV per atom
Total magnetization   0.00 μB/cell
DFT total energy   -2.554 eV/atom
Energy above the most stable polymorph in this dataset   56 meV per atom

Unit cell a=8.465 b=8.465 c=3.284 alpha=90.00 beta=90.00 gamma=90.00
Space group P4/mbm (No. 127)
Asymmetric unit:
Mg 0.169 0.331 0.000 (multiplicity 4)
In 0.132 0.632 0.500 (multiplicity 4)
Ge 0.000 0.000 0.500 (multiplicity 2)